PBE-GGA BeSi4Ru5, relaxed; size of the total moment = 0.00 μB per formula unit; crystal system = tetragonal; D(E_F) = 0.36 states/eV/atom; SG = No. 123; DFT total energy = -7.776 eV per atom; energy relative to the elements, uncorrected = -0.596 eV per atom
1.0
2.925 0.000 0.000
0.000 2.925 0.000
0.000 0.000 14.438
Be Si Ru
1 4 5
Cartesian
0.000 0.000 0.000
0.000 0.000 2.726
0.000 0.000 5.729
0.000 0.000 8.709
0.000 0.000 11.713
1.462 1.462 1.408
1.462 1.462 4.306
1.462 1.462 7.219
1.462 1.462 10.132
1.462 1.462 13.031

=====

PBE-GGA MoN, relaxed; size of the total moment = 0.00 μB per formula unit; crystal system = hexagonal; D(E_F) = 0.86 states/eV/atom; SG = No. 186; DFT total energy = -9.718 eV per atom; energy relative to the elements, uncorrected = -0.140 eV per atom
1.0
2.977 0.000 0.000
-1.489 2.578 0.000
0.000 0.000 6.258
Mo N
2 2
Cartesian
0.000 1.719 0.000
1.489 0.859 3.129
0.000 1.719 4.262
1.489 0.859 1.133

=====

PBE-GGA Li4HfNp3S8, relaxed; size of the total moment = 12.99 μB per formula unit; crystal system = trigonal; D(E_F) = 1.72 states/eV/atom; SG = No. 166; DFT total energy = -6.983 eV per atom; energy relative to the elements, uncorrected = -1.393 eV per atom
1.0
3.841 2.217 6.179
-3.841 2.217 6.179
0.000 -4.435 6.179
Li Hf Np S
4 1 3 8
Cartesian
0.000 0.000 0.000
-1.920 -1.109 6.179
-1.920 1.109 12.358
0.000 2.217 6.179
0.000 0.000 9.269
-3.841 0.000 9.269
-1.920 1.109 3.090
1.920 1.109 3.090
0.000 0.000 4.682
0.000 -2.102 7.726
-1.821 1.051 7.726
-1.821 -1.051 10.811
1.821 1.051 7.726
1.821 -1.051 10.811
0.000 2.102 10.811
0.000 0.000 13.856

=====

PBE-GGA Zr2CuHg, relaxed; size of the total moment = 0.29 μB per formula unit; formation energy = -0.09 eV per atom; crystal system = tetragonal; D(E_F) = 1.08 states/eV/atom; SG = No. 123; DFT total energy = -5.460 eV per atom
1.0
4.303 0.000 0.000
0.000 4.303 0.000
0.000 0.000 4.229
Zr Cu Hg
2 1 1
Cartesian
0.000 2.151 0.000
2.151 0.000 0.000
0.000 0.000 2.114
2.151 2.151 2.114